Record 1
Here is an optimized crystal structure of SrCd2Ni from the Alexandria database. Energies are from PBE.

a b c (Å): 8.046 4.658 6.084
angles (deg): 90.00 116.23 90.00
Element x y z (fractional)
1 Sr 0.000 0.000 0.000
2 Sr 0.500 0.500 0.000
3 Cd 0.030 0.500 0.592
4 Cd 0.299 0.500 0.397
5 Cd 0.530 0.000 0.592
6 Cd 0.799 0.000 0.397
7 Ni 0.189 0.000 0.569
8 Ni 0.689 0.500 0.569

## Properties
Crystal system   monoclinic
Spin magnetization   0.00 μB per cell
Electronic total energy   -2.44 eV per atom
Energy relative to the elements   -121.1 meV/atom

---

Record 2
Here is an optimized crystal structure of Sr3CdNi from the Alexandria database. Energies are from PBE.

a b c (Å): 9.385 9.385 9.347
angles (deg): 90.16 90.16 25.93
Element x y z (fractional)
1 Sr 0.045 0.045 0.191
2 Sr 0.250 0.250 0.795
3 Sr 0.389 0.389 0.447
4 Sr 0.611 0.611 0.553
5 Sr 0.750 0.750 0.205
6 Sr 0.955 0.955 0.809
7 Cd 0.397 0.397 0.075
8 Cd 0.603 0.603 0.925
9 Ni 0.230 0.230 0.466
10 Ni 0.770 0.770 0.534

## Properties
Crystal system   monoclinic
Spin magnetization   0.00 μB per cell
Electronic total energy   -2.49 eV per atom
Energy relative to the elements   -140.4 meV/atom
Energy above the most stable polymorph in this dataset   0.0000 eV/atom

---

Record 3
Here is an optimized crystal structure of SrCdNi3 from the Alexandria database. Energies are from PBE.

a b c (Å): 4.792 4.792 4.792
angles (deg): 90.00 90.00 90.00
Element x y z (fractional)
1 Sr 0.000 0.000 0.000
2 Cd 0.500 0.500 0.500
3 Ni 0.000 0.500 0.500
4 Ni 0.500 0.000 0.500
5 Ni 0.500 0.500 0.000

## Properties
Crystal system   cubic
Spin magnetization   0.00 μB per cell
Electronic total energy   -3.33 eV per atom
Energy relative to the elements   654.1 meV/atom
Energy above the most stable polymorph in this dataset   0.0000 eV/atom